DFT (PBE-GGA) results for Ca2PaSb3 after structural relaxation.

## Properties
- SG = Fddd
- ΔE_f (raw) (eV/atom) = -0.83
- total magnetization (μB per atom) = 0.000

Cell lengths 14.910, 14.215, 7.757 Å; angles 79.57, 69.66, 30.77 degrees
Positions (direct):
Ca (0.044, 0.044, 0.206)
Ca (0.123, 0.123, 0.627)
Ca (0.206, 0.206, 0.044)
Ca (0.373, 0.373, 0.877)
Ca (0.627, 0.627, 0.123)
Ca (0.794, 0.794, 0.956)
Ca (0.877, 0.877, 0.373)
Ca (0.956, 0.956, 0.794)
Pa (0.291, 0.291, 0.459)
Pa (0.459, 0.459, 0.291)
Pa (0.541, 0.541, 0.709)
Pa (0.709, 0.709, 0.541)
Sb (0.040, 0.537, 0.227)
Sb (0.142, 0.608, 0.608)
Sb (0.227, 0.697, 0.040)
Sb (0.303, 0.773, 0.463)
Sb (0.392, 0.858, 0.858)
Sb (0.463, 0.960, 0.303)
Sb (0.537, 0.040, 0.697)
Sb (0.608, 0.142, 0.142)
Sb (0.697, 0.227, 0.537)
Sb (0.773, 0.303, 0.960)
Sb (0.858, 0.392, 0.392)
Sb (0.960, 0.463, 0.773)

***

DFT (PBE-GGA) results for CaPaSb2 after structural relaxation.

## Properties
- SG = Fm-3m
- distance to the lowest polymorph of the same formula (meV per atom) = 200.1
- ΔE_f (raw) (eV/atom) = -0.52
- total magnetization (μB per atom) = 0.187

Cell lengths 7.598, 7.598, 7.598 Å; angles 90.00, 90.00, 90.00 degrees
Positions (direct):
Ca (0.000, 0.000, 0.000)
Ca (0.000, 0.500, 0.500)
Ca (0.500, 0.000, 0.500)
Ca (0.500, 0.500, 0.000)
Pa (0.000, 0.000, 0.500)
Pa (0.000, 0.500, 0.000)
Pa (0.500, 0.000, 0.000)
Pa (0.500, 0.500, 0.500)
Sb (0.250, 0.250, 0.250)
Sb (0.250, 0.250, 0.750)
Sb (0.250, 0.750, 0.250)
Sb (0.250, 0.750, 0.750)
Sb (0.750, 0.250, 0.250)
Sb (0.750, 0.250, 0.750)
Sb (0.750, 0.750, 0.250)
Sb (0.750, 0.750, 0.750)

***

DFT (PBE-GGA) results for CaPaSb2 after structural relaxation.

## Properties
- SG = R3m
- distance to the lowest polymorph of the same formula (meV per atom) = 64.5
- ΔE_f (raw) (eV/atom) = -0.66
- total magnetization (μB per atom) = 0.240

Cell lengths 4.415, 4.415, 22.699 Å; angles 90.00, 90.00, 120.00 degrees
Positions (direct):
Ca (0.000, 0.000, 0.000)
Ca (0.333, 0.667, 0.667)
Ca (0.667, 0.333, 0.333)
Pa (0.000, 0.000, 0.171)
Pa (0.333, 0.667, 0.838)
Pa (0.667, 0.333, 0.505)
Sb (0.000, 0.000, 0.582)
Sb (0.000, 0.000, 0.758)
Sb (0.333, 0.667, 0.249)
Sb (0.333, 0.667, 0.425)
Sb (0.667, 0.333, 0.092)
Sb (0.667, 0.333, 0.915)

***

DFT (PBE-GGA) results for CaPa3Sb4 after structural relaxation.

## Properties
- SG = Cmmm
- ΔE_f (raw) (eV/atom) = -0.57
- total magnetization (μB per atom) = 0.383

Cell lengths 8.847, 12.461, 4.387 Å; angles 90.00, 90.00, 90.00 degrees
Positions (direct):
Ca (0.000, 0.000, 0.000)
Ca (0.500, 0.500, 0.000)
Pa (0.000, 0.500, 0.000)
Pa (0.250, 0.250, 0.500)
Pa (0.250, 0.750, 0.500)
Pa (0.500, 0.000, 0.000)
Pa (0.750, 0.250, 0.500)
Pa (0.750, 0.750, 0.500)
Sb (0.000, 0.250, 0.000)
Sb (0.000, 0.750, 0.000)
Sb (0.247, 0.500, 0.500)
Sb (0.253, 0.000, 0.500)
Sb (0.500, 0.250, 0.000)
Sb (0.500, 0.750, 0.000)
Sb (0.747, 0.000, 0.500)
Sb (0.753, 0.500, 0.500)

***

DFT (PBE-GGA) results for Ca2ScPaSb4 after structural relaxation.

## Properties
- SG = P2/m
- ΔE_f (raw) (eV/atom) = -0.84
- total magnetization (μB per atom) = 0.010

Cell lengths 7.511, 4.419, 7.715 Å; angles 90.00, 109.21, 90.00 degrees
Positions (direct):
Ca (0.000, 0.000, 0.000)
Ca (0.500, 0.500, 0.000)
Sc (0.000, 0.500, 0.500)
Pa (0.500, 0.000, 0.500)
Sb (0.239, 0.000, 0.727)
Sb (0.251, 0.500, 0.268)
Sb (0.749, 0.500, 0.732)
Sb (0.761, 0.000, 0.273)

***

DFT (PBE-GGA) results for Ca3ScPa2Sb6 after structural relaxation.

## Properties
- SG = C2/m
- ΔE_f (raw) (eV/atom) = -0.81
- total magnetization (μB per atom) = 0.069

Cell lengths 7.613, 7.613, 7.730 Å; angles 99.46, 99.46, 120.00 degrees
Positions (direct):
Ca (0.000, 0.000, 0.000)
Ca (0.331, 0.669, 0.000)
Ca (0.669, 0.331, 0.000)
Sc (0.500, 0.500, 0.500)
Pa (0.166, 0.834, 0.500)
Pa (0.834, 0.166, 0.500)
Sb (0.095, 0.423, 0.268)
Sb (0.250, 0.250, 0.734)
Sb (0.423, 0.095, 0.268)
Sb (0.577, 0.905, 0.732)
Sb (0.750, 0.750, 0.266)
Sb (0.905, 0.577, 0.732)

***

DFT (PBE-GGA) results for CaSm2PaSb4 after structural relaxation.

## Properties
- SG = P2/m
- ΔE_f (raw) (eV/atom) = -0.95
- total magnetization (μB per atom) = 0.053

Cell lengths 7.696, 4.452, 7.706 Å; angles 90.00, 109.16, 90.00 degrees
Positions (direct):
Ca (0.000, 0.000, 0.000)
Sm (0.000, 0.500, 0.500)
Sm (0.500, 0.000, 0.500)
Pa (0.500, 0.500, 0.000)
Sb (0.257, 0.000, 0.756)
Sb (0.257, 0.500, 0.246)
Sb (0.743, 0.000, 0.244)
Sb (0.743, 0.500, 0.754)

***

DFT (PBE-GGA) results for Ca3Sm2PaSb6 after structural relaxation.

## Properties
- SG = C2/m
- ΔE_f (raw) (eV/atom) = -0.93
- total magnetization (μB per atom) = 0.000

Cell lengths 7.800, 7.800, 7.748 Å; angles 99.67, 99.67, 120.08 degrees
Positions (direct):
Ca (0.000, 0.000, 0.000)
Ca (0.329, 0.671, 0.000)
Ca (0.671, 0.329, 0.000)
Sm (0.166, 0.834, 0.500)
Sm (0.834, 0.166, 0.500)
Pa (0.500, 0.500, 0.500)
Sb (0.096, 0.421, 0.261)
Sb (0.257, 0.257, 0.741)
Sb (0.421, 0.096, 0.261)
Sb (0.579, 0.904, 0.739)
Sb (0.743, 0.743, 0.259)
Sb (0.904, 0.579, 0.739)